# 1
TbNdAl4 | PBE-GGA | optimized geometry

Cell: 5.6346 5.6346 5.6346 Å, 60.00 60.00 60.00°
Last column: nearest neighbours and their distance in Å.
Element x y z (fractional)
Tb (0.0000, 0.0000, 0.0000)  12 Al 3.30, 4 Nd 3.45
Nd (0.7500, 0.7500, 0.7500)  12 Al 3.30, 4 Tb 3.45
Al (0.3749, 0.3749, 0.3749)  6 Al 2.81-2.82
Al (0.3749, 0.3749, 0.8753)  6 Al 2.81-2.82
Al (0.3749, 0.8753, 0.3749)  6 Al 2.81-2.82
Al (0.8753, 0.3749, 0.3749)  6 Al 2.81-2.82

Calculated values
space-group type = F-43m, No. 216

=====

# 2
TbNd5Al2 | PBE-GGA | optimized geometry

Cell: 8.3685 8.3685 8.3685 Å, 154.63 100.17 85.41°
Last column: nearest neighbours and their distance in Å.
Element x y z (fractional)
Tb (0.0000, 0.0000, 0.0000)  4 Al 3.29, 2 Tb 3.67
Nd (0.1405, 0.3580, 0.7826)  3 Al 3.19-3.41, 5 Nd 3.30-3.49
Nd (0.4246, 0.6420, 0.7826)  3 Al 3.19-3.41, 5 Nd 3.30-3.49
Nd (0.5000, 0.0000, 0.5000)  2 Al 3.43, 10 Nd 3.45-3.67
Nd (0.5754, 0.3580, 0.2174)  3 Al 3.19-3.41, 5 Nd 3.30-3.49
Nd (0.8595, 0.6420, 0.2174)  3 Al 3.19-3.41, 5 Nd 3.30-3.49
Al (0.2214, 0.7214, 0.5000)  7 Nd 3.19-3.43, 2 Tb 3.29
Al (0.7786, 0.2786, 0.5000)  7 Nd 3.19-3.43, 2 Tb 3.29

Calculated values
space-group type = Immm, No. 71
excess energy over the best structure of this formula in the dataset = 0.0000 eV per atom

=====

# 3
TbNd3Al2 | PBE-GGA | optimized geometry

Cell: 8.7741 8.7741 8.1185 Å, 96.32 96.32 34.36°
Last column: nearest neighbours and their distance in Å.
Element x y z (fractional)
Tb (0.1608, 0.1608, 0.2807)  5 Al 3.14-3.43, 2 Nd 3.48
Tb (0.8392, 0.8392, 0.7193)  5 Al 3.14-3.43, 2 Nd 3.48
Nd (0.0614, 0.0614, 0.8286)  3 Al 3.03-3.18
Nd (0.3177, 0.3177, 0.0064)  2 Al 3.02-3.07
Nd (0.3852, 0.3852, 0.4593)  4 Al 3.20-3.32, 2 Tb 3.48
Nd (0.6148, 0.6148, 0.5407)  4 Al 3.20-3.32, 2 Tb 3.48
Nd (0.6823, 0.6823, 0.9936)  2 Al 3.02-3.07
Nd (0.9386, 0.9386, 0.1714)  3 Al 3.03-3.18
Al (0.2232, 0.2232, 0.6599)  5 Nd 3.07-3.32, 3 Tb 3.14-3.24
Al (0.4681, 0.4681, 0.8347)  1 Al 2.77, 3 Nd 3.02-3.03
Al (0.5319, 0.5319, 0.1653)  1 Al 2.77, 3 Nd 3.02-3.03
Al (0.7768, 0.7768, 0.3401)  5 Nd 3.07-3.32, 3 Tb 3.14-3.24

Calculated values
space-group type = C2/m, No. 12
excess energy over the best structure of this formula in the dataset = 0.0412 eV per atom

=====

# 4
Tb6NdAl | PBE-GGA | optimized geometry

Cell: 4.8836 4.8836 10.0548 Å, 90.00 90.00 90.00°
Last column: nearest neighbours and their distance in Å.
Element x y z (fractional)
Tb (0.0000, 0.0000, 0.0000)  8 Tb 3.41, 4 Al 3.45
Tb (0.0000, 0.0000, 0.5000)  4 Nd 3.45, 8 Tb 3.60
Tb (0.0000, 0.5000, 0.2364)  8 Tb 3.41-3.60, 2 Al 3.41, 2 Nd 3.60
Tb (0.0000, 0.5000, 0.7636)  8 Tb 3.41-3.60, 2 Al 3.41, 2 Nd 3.60
Tb (0.5000, 0.0000, 0.2364)  8 Tb 3.41-3.60, 2 Al 3.41, 2 Nd 3.60
Tb (0.5000, 0.0000, 0.7636)  8 Tb 3.41-3.60, 2 Al 3.41, 2 Nd 3.60
Nd (0.5000, 0.5000, 0.5000)  12 Tb 3.45-3.60
Al (0.5000, 0.5000, 0.0000)  12 Tb 3.41-3.45

Calculated values
space-group type = P4/mmm, No. 123
excess energy over the best structure of this formula in the dataset = 0.0000 eV per atom

=====

# 5
TbNd2Al6 | PBE-GGA | optimized geometry

Cell: 7.9672 7.9672 3.6495 Å, 90.00 90.00 120.00°
Last column: nearest neighbours and their distance in Å.
Element x y z (fractional)
Tb (0.0000, 0.0000, 0.0000)  12 Al 3.21
Nd (0.3333, 0.6667, 0.0000)  12 Al 3.23
Nd (0.6667, 0.3333, 0.0000)  12 Al 3.23
Al (0.0000, 0.3315, 0.5000)  3 Al 2.64-2.69
Al (0.0000, 0.6685, 0.5000)  3 Al 2.64-2.69
Al (0.3315, 0.0000, 0.5000)  3 Al 2.64-2.69
Al (0.3315, 0.3315, 0.5000)  3 Al 2.64-2.69
Al (0.6685, 0.0000, 0.5000)  3 Al 2.64-2.69
Al (0.6685, 0.6685, 0.5000)  3 Al 2.64-2.69

Calculated values
space-group type = P6/mmm, No. 191

=====

# 6
Tb2Nd2Al3 | PBE-GGA | optimized geometry

Cell: 5.9865 5.9865 6.9481 Å, 95.31 95.31 48.13°
Last column: nearest neighbours and their distance in Å.
Element x y z (fractional)
Tb (0.2052, 0.2052, 0.3501)  3 Al 3.02-3.28, 2 Tb 3.29
Tb (0.7948, 0.7948, 0.6499)  3 Al 3.02-3.28, 2 Tb 3.29
Nd (0.0993, 0.0993, 0.8277)  7 Al 3.25-3.44, 1 Nd 3.39, 4 Tb 3.43-3.62
Nd (0.9007, 0.9007, 0.1723)  7 Al 3.25-3.44, 1 Nd 3.39, 4 Tb 3.43-3.62
Al (0.3999, 0.3999, 0.8636)  2 Al 2.75-2.85, 2 Tb 3.02
Al (0.5000, 0.5000, 0.5000)  2 Al 2.85
Al (0.6001, 0.6001, 0.1364)  2 Al 2.75-2.85, 2 Tb 3.02

Calculated values
space-group type = C2/m, No. 12
excess energy over the best structure of this formula in the dataset = 0.0000 eV per atom

=====

| no. | DFT formation energy (eV per atom) | density of states at the Fermi level (states/eV/atom) |
| --- | --- | --- |
| 1 | -0.503 | 0.858 |
| 2 | -0.060 | 1.323 |
| 3 | -0.214 | 0.706 |
| 4 | -0.059 | 1.157 |
| 5 | -0.478 | 0.488 |
| 6 | -0.290 | 0.896 |